LaHo12Sc2 | PBE | optimized geometry

Cell: 6.258 6.258 25.175 Å, 90.00 90.00 90.00°
Atoms (fractional coordinates):
1 Ho 0.170 0.330 0.440
2 Ho 0.500 0.500 0.219
3 Ho 0.318 0.182 0.880
4 Ho 0.170 0.670 0.560
5 Ho 0.000 0.000 0.340
6 Ho 0.818 0.682 0.120
7 Ho 0.500 0.500 0.660
8 Ho 0.670 0.830 0.560
9 Ho 0.330 0.830 0.440
10 Ho 0.818 0.318 0.880
11 Ho 0.682 0.818 0.880
12 Ho 0.670 0.170 0.440
13 Ho 0.830 0.330 0.560
14 Ho 0.830 0.670 0.440
15 Ho 0.330 0.170 0.560
16 Ho 0.182 0.318 0.120
17 Ho 0.318 0.818 0.120
18 Ho 0.000 0.000 0.219
19 Ho 0.500 0.500 0.340
20 Ho 0.500 0.500 0.781
21 Ho 0.000 0.000 0.660
22 Ho 0.182 0.682 0.880
23 Ho 0.682 0.182 0.120
24 Ho 0.000 0.000 0.781
25 La 0.000 0.500 0.000
26 La 0.500 0.000 0.000
27 Sc 0.500 0.000 0.722
28 Sc 0.500 0.000 0.278
29 Sc 0.000 0.500 0.278
30 Sc 0.000 0.500 0.722

Volume, Å³/f.u.: 493
Mass density, g/cm³: 7.4
Formation enthalpy at 0 K, eV/f.u.: 5.2
M_tot, μB/atom: 0.00